[1]
LaCr4Cu3O12 | PBE with a Hubbard U | optimized geometry

Cell lengths 7.4504, 7.4504, 7.4504 Å; angles 90.00, 90.00, 90.00 degrees
With the nearest neighbours (Å) after each atom.
Space group Im-3 (No. 204)
Inequivalent atoms, fractional coordinates:
La1 0.0000 0.0000 0.0000  12 O 2.64
Cr1 0.2500 0.2500 0.2500  6 O 2.01
Cu1 0.0000 0.0000 0.5000  4 O 1.89
O1 0.0000 0.3110 0.1688  1 Cu 1.89, 2 Cr 2.01

Summary:
calculated total energy = -6.960 eV per atom
crystal system = cubic

=====

[2]
LaZnCrCuO6 | PBE with a Hubbard U | optimized geometry

Cell lengths 5.4626, 5.4408, 9.2554 Å; angles 90.00, 125.29, 90.00 degrees
With the nearest neighbours (Å) after each atom.
Space group Pc (No. 7)
Inequivalent atoms, fractional coordinates:
La1 0.0000 0.2153 0.0000  5 O 2.36-2.60
Zn1 0.4987 0.2824 0.4906  5 O 2.10-2.21
Cr1 0.7607 0.2584 0.2488  4 O 1.82-1.96
Cu1 0.2617 0.2576 0.7542  5 O 1.92-2.15
O1 0.1355 0.2193 0.5058  1 Cu 1.99, 1 Cr 2.07, 1 Zn 2.10
O2 0.4219 0.3215 0.0029  1 Cr 1.96, 1 Cu 1.96
O3 0.4807 0.0445 0.3062  1 Cu 1.92, 1 Zn 2.10
O4 0.6050 0.4760 0.3253  1 Cr 1.82
O5 0.8338 0.0470 0.6924  1 Cr 1.85
O6 0.9809 0.4671 0.2075  1 Cr 1.85, 1 Cu 2.00

Summary:
calculated total energy = -6.381 eV per atom
crystal system = monoclinic